Compound: PaNiSb2
Source: Alexandria
Functional: PBE
Structure: optimized geometry

Unit cell a=7.5920 b=7.8143 c=7.4326 alpha=90.00 beta=114.34 gamma=90.00
Space group P2_1/c (No. 14)
Asymmetric unit:
1 Pa 0.0736 0.0354 0.2091 x4
2 Ni 0.1329 0.1165 0.5871 x4
3 Sb 0.2389 0.6990 0.1006 x4
4 Sb 0.3249 0.1613 0.9703 x4

Computed properties:
E above lowest polymorph in eV/atom: 0.237
N(E_F) in states/eV/f.u.: 3.59